Hf2Ti15In2 | PBE-GGA | relaxed

Unit cell a=7.1884 b=7.1884 c=7.1884 alpha=80.29 beta=80.29 gamma=80.29
Closest atoms and distances in Å follow each position.
Atoms (fractional coordinates):
Hf: 0.8988 0.8988 0.8988  9 Ti 2.84-3.16, 1 Hf 2.91
Hf: 0.1012 0.1012 0.1012  9 Ti 2.84-3.16, 1 Hf 2.91
Ti: 0.5000 0.0000 0.0000  8 Ti 2.79-2.84, 2 Hf 2.84
Ti: 0.0000 0.0000 0.5000  8 Ti 2.79-2.84, 2 Hf 2.84
Ti: 0.0000 0.5000 0.0000  8 Ti 2.79-2.84, 2 Hf 2.84
Ti: 0.0000 0.3020 0.6980  6 Ti 2.74-2.80
Ti: 0.3020 0.6980 0.0000  6 Ti 2.74-2.80
Ti: 0.6980 0.0000 0.3020  6 Ti 2.74-2.80
Ti: 0.6980 0.3020 0.0000  6 Ti 2.74-2.80
Ti: 0.3020 0.0000 0.6980  6 Ti 2.74-2.80
Ti: 0.0000 0.6980 0.3020  6 Ti 2.74-2.80
Ti: 0.8272 0.3762 0.3762  4 Ti 2.53-2.74
Ti: 0.3762 0.3762 0.8272  4 Ti 2.53-2.74
Ti: 0.3762 0.8272 0.3762  4 Ti 2.53-2.74
Ti: 0.1728 0.6238 0.6238  4 Ti 2.53-2.74
Ti: 0.6238 0.6238 0.1728  4 Ti 2.53-2.74
Ti: 0.6238 0.1728 0.6238  4 Ti 2.53-2.74
In: 0.6774 0.6774 0.6774  1 Hf 3.19, 15 Ti 3.25-3.49
In: 0.3226 0.3226 0.3226  1 Hf 3.19, 15 Ti 3.25-3.49

## Properties
As for the density: 6.1 Mg/m³. As for the formation energy: 0.29 eV/atom. The value obtained for the total DFT energy (no corrections) is -7.274 eV/atom. The calculation puts the density of states at the Fermi level at 34.03 states/eV/f.u. The value obtained for the polymorph energy (0 for the lowest one) is 174 meV/atom. As for the space-group type: R-3m (166).